[1]
Entry from Alexandria: a relaxed structure of Cr2OsRuCl (PBE).

POSCAR file:
```
Cr2OsRuCl
1.0
4.848 0.000 0.000
0.000 4.628 0.000
0.000 0.000 4.848
Cl Cr Os Ru
1 2 1 1
Direct
0.500 0.500 0.500
0.000 0.000 0.500
0.500 0.000 0.000
0.000 0.500 0.000
0.000 0.000 0.000
```

Results
As for the formation energy from raw total energies: 145.7 kJ per mole of atoms. As for the density of states at the Fermi level: 1.3523 states/eV per atom. The space group is No. 123. Its total energy is -34.0 eV/f.u.

[2]
Entry from Alexandria: a relaxed structure of Tl5Cd4In (PBE).

POSCAR file:
```
Tl5Cd4In
1.0
3.403 0.000 0.000
-1.702 8.436 -1.417
0.000 0.081 9.824
Tl Cd In
5 4 1
Direct
0.858 0.716 0.775
0.500 0.000 0.500
0.142 0.284 0.225
0.188 0.377 0.594
0.812 0.623 0.406
0.316 0.632 0.071
0.950 0.899 0.230
0.050 0.101 0.770
0.684 0.368 0.929
0.500 0.000 0.000
```

Results
As for the density of states at the Fermi level: 0.3364 states/eV per atom. For the energy of formation, the calculation gives 0.04 eV/atom. The space group is No. 12. Its total energy is -17.8 eV/f.u.

Repeat the second record exactly.
Entry from Alexandria: a relaxed structure of Tl5Cd4In (PBE).

POSCAR file:
```
Tl5Cd4In
1.0
3.403 0.000 0.000
-1.702 8.436 -1.417
0.000 0.081 9.824
Tl Cd In
5 4 1
Direct
0.858 0.716 0.775
0.500 0.000 0.500
0.142 0.284 0.225
0.188 0.377 0.594
0.812 0.623 0.406
0.316 0.632 0.071
0.950 0.899 0.230
0.050 0.101 0.770
0.684 0.368 0.929
0.500 0.000 0.000
```

Results
As for the density of states at the Fermi level: 0.3364 states/eV per atom. For the energy of formation, the calculation gives 0.04 eV/atom. The space group is No. 12. Its total energy is -17.8 eV/f.u.

- Which of these has the lowest total energy?
  Cr2OsRuCl